# 1
PmGdHg2: relaxed, PBE.

a b c (Å): 5.347 5.347 5.347
angles (deg): 60.00 60.00 60.00
Fractional positions:
Pm 0.000 0.000 0.000
Gd 0.500 0.500 0.500
Hg 0.250 0.250 0.250
Hg 0.750 0.750 0.750

E_form   -0.49 eV/atom

***

# 2
Pm2GdHg: relaxed, PBE.

a b c (Å): 3.715 3.715 8.877
angles (deg): 90.00 90.00 90.00
Fractional positions:
Pm 0.000 0.000 0.223
Pm 0.000 0.000 0.777
Gd 0.500 0.500 0.500
Hg 0.500 0.500 0.000

E_form   -0.22 eV/atom
Offset from the most stable computed form   0 meV per atom

***

# 3
Pm2GdHg: relaxed, PBE.

a b c (Å): 11.037 11.037 11.037
angles (deg): 19.14 19.14 19.14
Fractional positions:
Pm 0.243 0.243 0.243
Pm 0.757 0.757 0.757
Gd 0.000 0.000 0.000
Hg 0.500 0.500 0.500

E_form   -0.14 eV/atom
Offset from the most stable computed form   81 meV per atom

***

# 4
Pm2GdHg: relaxed, PBE.

a b c (Å): 4.905 4.905 4.874
angles (deg): 90.00 90.00 90.00
Fractional positions:
Pm 0.000 0.500 0.000
Pm 0.500 0.000 0.000
Gd 0.000 0.000 0.500
Hg 0.500 0.500 0.500

E_form   -0.18 eV/atom
Offset from the most stable computed form   42 meV per atom

***

# 5
Pm2GdHg: relaxed, PBE.

a b c (Å): 5.495 5.495 5.495
angles (deg): 60.00 60.00 60.00
Fractional positions:
Pm 0.250 0.250 0.250
Pm 0.750 0.750 0.750
Gd 0.000 0.000 0.000
Hg 0.500 0.500 0.500

E_form   -0.09 eV/atom
Offset from the most stable computed form   130 meV per atom

***

# 6
PmPrGdHg: relaxed, PBE.

a b c (Å): 5.528 5.528 5.528
angles (deg): 60.00 60.00 60.00
Fractional positions:
Pm 0.000 0.000 0.000
Pr 0.500 0.500 0.500
Gd 0.250 0.250 0.250
Hg 0.750 0.750 0.750

E_form   -0.09 eV/atom
Offset from the most stable computed form   0 meV per atom

***

# 7
PmGdScHg: relaxed, PBE.

a b c (Å): 5.309 5.309 5.309
angles (deg): 60.00 60.00 60.00
Fractional positions:
Pm 0.000 0.000 0.000
Gd 0.750 0.750 0.750
Sc 0.250 0.250 0.250
Hg 0.500 0.500 0.500

E_form   -0.04 eV/atom

***

# 8
PmGdSiHg: relaxed, PBE.

a b c (Å): 5.204 5.204 5.204
angles (deg): 60.00 60.00 60.00
Fractional positions:
Pm 0.000 0.000 0.000
Gd 0.500 0.500 0.500
Si 0.250 0.250 0.250
Hg 0.750 0.750 0.750

Energy relative to the elements, uncorrected   -477 meV/atom

***

# 9
PmGdThHg: relaxed, PBE.

a b c (Å): 5.498 5.498 5.498
angles (deg): 60.00 60.00 60.00
Fractional positions:
Pm 0.000 0.000 0.000
Gd 0.250 0.250 0.250
Th 0.750 0.750 0.750
Hg 0.500 0.500 0.500

E_form   0.01 eV/atom

***

# 10
PmGdTlHg: relaxed, PBE.

a b c (Å): 5.401 5.401 5.401
angles (deg): 60.00 60.00 60.00
Fractional positions:
Pm 0.000 0.000 0.000
Gd 0.500 0.500 0.500
Tl 0.250 0.250 0.250
Hg 0.750 0.750 0.750

E_form   -0.45 eV/atom

***

# 11
PmGdYHg: relaxed, PBE.

a b c (Å): 5.458 5.458 5.458
angles (deg): 60.00 60.00 60.00
Fractional positions:
Pm 0.000 0.000 0.000
Gd 0.250 0.250 0.250
Y 0.750 0.750 0.750
Hg 0.500 0.500 0.500

E_form   -0.05 eV/atom

***

# 12
PmGdZnHg: relaxed, PBE.

a b c (Å): 5.256 5.256 5.256
angles (deg): 60.00 60.00 60.00
Fractional positions:
Pm 0.000 0.000 0.000
Gd 0.500 0.500 0.500
Zn 0.250 0.250 0.250
Hg 0.750 0.750 0.750

E_form   -0.40 eV/atom

***

For the records above, the corresponding ρ values read 10.8, 8.8, 8.5, 9.2, 9.2, 8.9, 8.6, 8.8, 10.4, 10.5, 8.5, 9.2 g cm⁻³.